1.
TaCuSiAu | the Open Quantum Materials Database | PBE | optimized geometry; energy above the lowest structure with this stoichiometry = 0.278 eV/atom; magnetization = 2.7 μB per cell
1.0
6.3310 0.0000 0.0000
0.0000 6.3310 0.0000
0.0000 0.0000 6.3310
Ta Cu Si Au
4 4 4 4
Direct
0.0000 0.0000 0.0000
0.0000 0.5000 0.5000
0.5000 0.0000 0.5000
0.5000 0.5000 0.0000
0.2500 0.2500 0.7500
0.2500 0.7500 0.2500
0.7500 0.2500 0.2500
0.7500 0.7500 0.7500
0.0000 0.0000 0.5000
0.0000 0.5000 0.0000
0.5000 0.0000 0.0000
0.5000 0.5000 0.5000
0.2500 0.2500 0.2500
0.2500 0.7500 0.7500
0.7500 0.2500 0.7500
0.7500 0.7500 0.2500


2.
TbCuSi2Au | the Open Quantum Materials Database | PBE | optimized geometry; final energy = -50.8 eV/cell; magnetization = 0.0 μB per cell
1.0
4.0978 0.0000 0.0000
0.0000 4.0978 0.0000
0.0000 0.0000 10.2720
Tb Cu Si Au
2 2 4 2
Direct
0.0000 0.0000 0.0000
0.5000 0.5000 0.5000
0.0000 0.5000 0.7500
0.5000 0.0000 0.2500
0.0000 0.0000 0.3874
0.0000 0.0000 0.6126
0.5000 0.5000 0.1126
0.5000 0.5000 0.8874
0.0000 0.5000 0.2500
0.5000 0.0000 0.7500


3.
CuSiWAu | the Open Quantum Materials Database | PBE | optimized geometry; energy above the lowest structure with this stoichiometry = 0.000 eV/atom; magnetization = 0.4 μB per cell
1.0
6.2168 0.0000 0.0000
0.0000 6.2168 0.0000
0.0000 0.0000 6.2168
Cu Si W Au
4 4 4 4
Direct
0.0000 0.0000 0.0000
0.0000 0.5000 0.5000
0.5000 0.0000 0.5000
0.5000 0.5000 0.0000
0.2500 0.2500 0.7500
0.2500 0.7500 0.2500
0.7500 0.2500 0.2500
0.7500 0.7500 0.7500
0.0000 0.0000 0.5000
0.0000 0.5000 0.0000
0.5000 0.0000 0.0000
0.5000 0.5000 0.5000
0.2500 0.2500 0.2500
0.2500 0.7500 0.7500
0.7500 0.2500 0.7500
0.7500 0.7500 0.2500


4.
CuSiWAu | the Open Quantum Materials Database | PBE | optimized geometry; energy above the lowest structure with this stoichiometry = 0.377 eV/atom; magnetization = 6.5 μB per cell
1.0
6.2829 0.0000 0.0000
0.0000 6.2829 0.0000
0.0000 0.0000 6.2829
Cu Si W Au
4 4 4 4
Direct
0.0000 0.0000 0.0000
0.0000 0.5000 0.5000
0.5000 0.0000 0.5000
0.5000 0.5000 0.0000
0.2500 0.2500 0.7500
0.2500 0.7500 0.2500
0.7500 0.2500 0.2500
0.7500 0.7500 0.7500
0.2500 0.2500 0.2500
0.2500 0.7500 0.7500
0.7500 0.2500 0.7500
0.7500 0.7500 0.2500
0.0000 0.0000 0.5000
0.0000 0.5000 0.0000
0.5000 0.0000 0.0000
0.5000 0.5000 0.5000


5.
YCuSi2Au | the Open Quantum Materials Database | PBE | optimized geometry; final energy = -54.5 eV/cell; magnetization = 0.0 μB per cell
1.0
4.0841 0.0000 0.0000
0.0000 4.0841 0.0000
0.0000 0.0000 10.2785
Y Cu Si Au
2 2 4 2
Direct
0.0000 0.0000 0.0000
0.5000 0.5000 0.5000
0.0000 0.5000 0.2500
0.5000 0.0000 0.7500
0.0000 0.0000 0.3877
0.0000 0.0000 0.6123
0.5000 0.5000 0.1123
0.5000 0.5000 0.8877
0.0000 0.5000 0.7500
0.5000 0.0000 0.2500


6.
ZrCuSiAu | the Open Quantum Materials Database | PBE | optimized geometry; energy above the lowest structure with this stoichiometry = 0.000 eV/atom; magnetization = 0.0 μB per cell
1.0
6.4502 0.0000 0.0000
0.0000 6.4502 0.0000
0.0000 0.0000 6.4502
Zr Cu Si Au
4 4 4 4
Direct
0.0000 0.0000 0.0000
0.0000 0.5000 0.5000
0.5000 0.0000 0.5000
0.5000 0.5000 0.0000
0.0000 0.0000 0.5000
0.0000 0.5000 0.0000
0.5000 0.0000 0.0000
0.5000 0.5000 0.5000
0.2500 0.2500 0.2500
0.2500 0.7500 0.7500
0.7500 0.2500 0.7500
0.7500 0.7500 0.2500
0.2500 0.2500 0.7500
0.2500 0.7500 0.2500
0.7500 0.2500 0.2500
0.7500 0.7500 0.7500


7.
ZrCuSiAu | the Open Quantum Materials Database | PBE | optimized geometry; energy above the lowest structure with this stoichiometry = 0.117 eV/atom; magnetization = 0.0 μB per cell
1.0
6.4668 0.0000 0.0000
0.0000 6.4668 0.0000
0.0000 0.0000 6.4668
Zr Cu Si Au
4 4 4 4
Direct
0.0000 0.0000 0.0000
0.0000 0.5000 0.5000
0.5000 0.0000 0.5000
0.5000 0.5000 0.0000
0.2500 0.2500 0.7500
0.2500 0.7500 0.2500
0.7500 0.2500 0.2500
0.7500 0.7500 0.7500
0.0000 0.0000 0.5000
0.0000 0.5000 0.0000
0.5000 0.0000 0.0000
0.5000 0.5000 0.5000
0.2500 0.2500 0.2500
0.2500 0.7500 0.7500
0.7500 0.2500 0.7500
0.7500 0.7500 0.2500


8.
SmCuAu | the Open Quantum Materials Database | PBE | optimized geometry; energy above the lowest structure with this stoichiometry = 0.302 eV/atom; formation energy = -73 meV/atom; magnetization = 0.0 μB per cell
1.0
6.7570 0.0000 0.0000
0.0000 6.7570 0.0000
0.0000 0.0000 6.7570
Sm Cu Au
4 4 4
Direct
0.0000 0.0000 0.0000
0.0000 0.5000 0.5000
0.5000 0.0000 0.5000
0.5000 0.5000 0.0000
0.2500 0.2500 0.2500
0.2500 0.7500 0.7500
0.7500 0.2500 0.7500
0.7500 0.7500 0.2500
0.2500 0.2500 0.7500
0.2500 0.7500 0.2500
0.7500 0.2500 0.2500
0.7500 0.7500 0.7500


9.
Sm2CuAu3 | the Open Quantum Materials Database | PBE | optimized geometry; formation energy = -646 meV/atom; magnetization = 0.0 μB per cell
1.0
3.7780 0.0000 0.0000
0.0000 3.7780 0.0000
0.0000 0.0000 9.1121
Sm Cu Au
2 1 3
Direct
0.0000 0.0000 0.0000
0.5000 0.5000 0.4964
0.0000 0.0000 0.3261
0.0000 0.0000 0.6548
0.5000 0.5000 0.1734
0.5000 0.5000 0.8335


10.
SmCuAu4 | the Open Quantum Materials Database | PBE | optimized geometry; formation energy = -345 meV/atom; magnetization = 0.0 μB per cell
1.0
3.5988 0.0000 0.0000
0.0000 3.5988 0.0000
0.0000 0.0000 8.9944
Sm Cu Au
1 1 4
Direct
0.0000 0.0000 0.0000
0.5000 0.5000 0.5000
0.0000 0.0000 0.3487
0.0000 0.0000 0.6513
0.5000 0.5000 0.1935
0.5000 0.5000 0.8065


11.
Sm2CuAu | the Open Quantum Materials Database | PBE | optimized geometry; formation energy = -526 meV/atom; magnetization = 0.0 μB per cell
1.0
4.6528 0.0000 0.0000
0.0000 5.6443 0.0000
0.0000 0.0000 7.3692
Sm Cu Au
4 2 2
Direct
0.0000 0.1101 0.0000
0.0000 0.8899 0.5000
0.5000 0.3848 0.3663
0.5000 0.6152 0.8663
0.5000 0.1133 0.7204
0.5000 0.8867 0.2204
0.0000 0.3855 0.6485
0.0000 0.6145 0.1485


12.
CuSnAu2 | the Open Quantum Materials Database | PBE | optimized geometry; final energy = -56.7 eV/cell
1.0
6.6380 0.0000 0.0000
0.0000 6.6380 0.0000
0.0000 0.0000 6.6380
Cu Sn Au
4 4 8
Direct
0.0000 0.0000 0.0000
0.0000 0.5000 0.5000
0.5000 0.0000 0.5000
0.5000 0.5000 0.0000
0.2500 0.2500 0.7500
0.2500 0.7500 0.2500
0.7500 0.2500 0.2500
0.7500 0.7500 0.7500
0.0000 0.0000 0.5000
0.0000 0.5000 0.0000
0.2500 0.2500 0.2500
0.2500 0.7500 0.7500
0.5000 0.0000 0.0000
0.5000 0.5000 0.5000
0.7500 0.2500 0.7500
0.7500 0.7500 0.2500


13.
Cu3SnAu | the Open Quantum Materials Database | PBE | optimized geometry; final energy = -71.9 eV/cell
1.0
6.8537 0.0000 0.0000
0.0000 6.8537 0.0000
0.0000 0.0000 6.8537
Cu Sn Au
12 4 4
Direct
0.1037 0.1255 0.8532
0.1255 0.8532 0.1037
0.1468 0.6037 0.3745
0.3532 0.3963 0.8745
0.3745 0.1468 0.6037
0.3963 0.8745 0.3532
0.6037 0.3745 0.1468
0.6255 0.6468 0.8963
0.6468 0.8963 0.6255
0.8532 0.1037 0.1255
0.8745 0.3532 0.3963
0.8963 0.6255 0.6468
0.2439 0.2439 0.2439
0.2561 0.7561 0.7439
0.7439 0.2561 0.7561
0.7561 0.7439 0.2561
0.0091 0.9909 0.4909
0.4909 0.0091 0.9909
0.5091 0.5091 0.5091
0.9909 0.4909 0.0091


14.
CuSnAu | the Open Quantum Materials Database | PBE | optimized geometry; energy above the lowest structure with this stoichiometry = 0.000 eV/atom
1.0
6.1766 0.0000 0.0000
0.0000 6.1766 0.0000
0.0000 0.0000 6.1766
Cu Sn Au
4 4 4
Direct
0.0000 0.0000 0.0000
0.0000 0.5000 0.5000
0.5000 0.0000 0.5000
0.5000 0.5000 0.0000
0.2500 0.2500 0.2500
0.2500 0.7500 0.7500
0.7500 0.2500 0.7500
0.7500 0.7500 0.2500
0.2500 0.2500 0.7500
0.2500 0.7500 0.2500
0.7500 0.2500 0.2500
0.7500 0.7500 0.7500


15.
TaCuSnAu | the Open Quantum Materials Database | PBE | optimized geometry; energy above the lowest structure with this stoichiometry = 0.000 eV/atom; magnetization = 2.6 μB per cell
1.0
6.5974 0.0000 0.0000
0.0000 6.5974 0.0000
0.0000 0.0000 6.5974
Ta Cu Sn Au
4 4 4 4
Direct
0.0000 0.0000 0.0000
0.0000 0.5000 0.5000
0.5000 0.0000 0.5000
0.5000 0.5000 0.0000
0.0000 0.0000 0.5000
0.0000 0.5000 0.0000
0.5000 0.0000 0.0000
0.5000 0.5000 0.5000
0.2500 0.2500 0.2500
0.2500 0.7500 0.7500
0.7500 0.2500 0.7500
0.7500 0.7500 0.2500
0.2500 0.2500 0.7500
0.2500 0.7500 0.2500
0.7500 0.2500 0.2500
0.7500 0.7500 0.7500


16.
TaCuSnAu | the Open Quantum Materials Database | PBE | optimized geometry; energy above the lowest structure with this stoichiometry = 0.105 eV/atom; magnetization = 3.8 μB per cell
1.0
6.5932 0.0000 0.0000
0.0000 6.5932 0.0000
0.0000 0.0000 6.5932
Ta Cu Sn Au
4 4 4 4
Direct
0.0000 0.0000 0.0000
0.0000 0.5000 0.5000
0.5000 0.0000 0.5000
0.5000 0.5000 0.0000
0.2500 0.2500 0.7500
0.2500 0.7500 0.2500
0.7500 0.2500 0.2500
0.7500 0.7500 0.7500
0.0000 0.0000 0.5000
0.0000 0.5000 0.0000
0.5000 0.0000 0.0000
0.5000 0.5000 0.5000
0.2500 0.2500 0.2500
0.2500 0.7500 0.7500
0.7500 0.2500 0.7500
0.7500 0.7500 0.2500


17.
CuTcSnAu | the Open Quantum Materials Database | PBE | optimized geometry; energy above the lowest structure with this stoichiometry = 0.000 eV/atom; magnetization = 0.1 μB per cell
1.0
6.4279 0.0000 0.0000
0.0000 6.4279 0.0000
0.0000 0.0000 6.4279
Cu Tc Sn Au
4 4 4 4
Direct
0.0000 0.0000 0.0000
0.0000 0.5000 0.5000
0.5000 0.0000 0.5000
0.5000 0.5000 0.0000
0.0000 0.0000 0.5000
0.0000 0.5000 0.0000
0.5000 0.0000 0.0000
0.5000 0.5000 0.5000
0.2500 0.2500 0.7500
0.2500 0.7500 0.2500
0.7500 0.2500 0.2500
0.7500 0.7500 0.7500
0.2500 0.2500 0.2500
0.2500 0.7500 0.7500
0.7500 0.2500 0.7500
0.7500 0.7500 0.2500


18.
CuSnTe3Au | the Open Quantum Materials Database | PBE | optimized geometry; final energy = -40.8 eV/cell
1.0
2.0246 -7.4959 0.0000
2.0246 7.4959 0.0000
0.0000 0.0000 10.1903
Cu Sn Te Au
2 2 6 2
Direct
0.0313 0.9687 0.7500
0.9687 0.0313 0.2500
0.2574 0.7426 0.2500
0.7426 0.2574 0.7500
0.1463 0.8537 0.5561
0.1463 0.8537 0.9439
0.4198 0.5802 0.7500
0.5802 0.4198 0.2500
0.8537 0.1463 0.0561
0.8537 0.1463 0.4439
0.5000 0.5000 0.0000
0.5000 0.5000 0.5000


19.
ZnCuSnAu | the Open Quantum Materials Database | PBE | optimized geometry; energy above the lowest structure with this stoichiometry = 0.000 eV/atom
1.0
6.5539 0.0000 0.0000
0.0000 6.5539 0.0000
0.0000 0.0000 6.5539
Zn Cu Sn Au
4 4 4 4
Direct
0.0000 0.0000 0.0000
0.0000 0.5000 0.5000
0.5000 0.0000 0.5000
0.5000 0.5000 0.0000
0.0000 0.0000 0.5000
0.0000 0.5000 0.0000
0.5000 0.0000 0.0000
0.5000 0.5000 0.5000
0.2500 0.2500 0.2500
0.2500 0.7500 0.7500
0.7500 0.2500 0.7500
0.7500 0.7500 0.2500
0.2500 0.2500 0.7500
0.2500 0.7500 0.2500
0.7500 0.2500 0.2500
0.7500 0.7500 0.7500


20.
ZrCuSnAu | the Open Quantum Materials Database | PBE | optimized geometry; energy above the lowest structure with this stoichiometry = 0.012 eV/atom; magnetization = 0.0 μB per cell
1.0
6.7306 0.0000 0.0000
0.0000 6.7306 0.0000
0.0000 0.0000 6.7306
Zr Cu Sn Au
4 4 4 4
Direct
0.0000 0.0000 0.0000
0.0000 0.5000 0.5000
0.5000 0.0000 0.5000
0.5000 0.5000 0.0000
0.0000 0.0000 0.5000
0.0000 0.5000 0.0000
0.5000 0.0000 0.0000
0.5000 0.5000 0.5000
0.2500 0.2500 0.2500
0.2500 0.7500 0.7500
0.7500 0.2500 0.7500
0.7500 0.7500 0.2500
0.2500 0.2500 0.7500
0.2500 0.7500 0.2500
0.7500 0.2500 0.2500
0.7500 0.7500 0.7500


21.
SrCu3Au2 | the Open Quantum Materials Database | PBE | optimized geometry; final energy = -21.1 eV/cell
1.0
5.4475 0.0000 0.0000
-2.7237 4.7177 0.0000
0.0000 0.0000 4.2635
Sr Cu Au
1 3 2
Direct
0.0000 0.0000 0.0000
0.0000 0.5000 0.5000
0.5000 0.0000 0.5000
0.5000 0.5000 0.5000
0.3333 0.6667 0.0000
0.6667 0.3333 0.0000


22.
SrCuAu2 | the Open Quantum Materials Database | PBE | optimized geometry; final energy = -51.6 eV/cell
1.0
6.9940 0.0000 0.0000
0.0000 6.9940 0.0000
0.0000 0.0000 6.9940
Sr Cu Au
4 4 8
Direct
0.0000 0.0000 0.0000
0.0000 0.5000 0.5000
0.5000 0.0000 0.5000
0.5000 0.5000 0.0000
0.2500 0.2500 0.2500
0.2500 0.7500 0.7500
0.7500 0.2500 0.7500
0.7500 0.7500 0.2500
0.0000 0.0000 0.5000
0.0000 0.5000 0.0000
0.2500 0.2500 0.7500
0.2500 0.7500 0.2500
0.5000 0.0000 0.0000
0.5000 0.5000 0.5000
0.7500 0.2500 0.2500
0.7500 0.7500 0.7500


23.
TaCuAu2 | the Open Quantum Materials Database | PBE | optimized geometry; formation energy = 80 meV/atom; magnetization = 0.0 μB per cell
1.0
6.3931 0.0000 0.0000
0.0000 6.3931 0.0000
0.0000 0.0000 6.3931
Ta Cu Au
4 4 8
Direct
0.0000 0.0000 0.0000
0.0000 0.5000 0.5000
0.5000 0.0000 0.5000
0.5000 0.5000 0.0000
0.2500 0.2500 0.2500
0.2500 0.7500 0.7500
0.7500 0.2500 0.7500
0.7500 0.7500 0.2500
0.0000 0.0000 0.5000
0.0000 0.5000 0.0000
0.2500 0.2500 0.7500
0.2500 0.7500 0.2500
0.5000 0.0000 0.0000
0.5000 0.5000 0.5000
0.7500 0.2500 0.2500
0.7500 0.7500 0.7500


24.
TaTlCuAu | the Open Quantum Materials Database | PBE | optimized geometry; energy above the lowest structure with this stoichiometry = 0.000 eV/atom; magnetization = 0.0 μB per cell
1.0
6.6138 0.0000 0.0000
0.0000 6.6138 0.0000
0.0000 0.0000 6.6138
Ta Tl Cu Au
4 4 4 4
Direct
0.0000 0.0000 0.0000
0.0000 0.5000 0.5000
0.5000 0.0000 0.5000
0.5000 0.5000 0.0000
0.2500 0.2500 0.2500
0.2500 0.7500 0.7500
0.7500 0.2500 0.7500
0.7500 0.7500 0.2500
0.0000 0.0000 0.5000
0.0000 0.5000 0.0000
0.5000 0.0000 0.0000
0.5000 0.5000 0.5000
0.2500 0.2500 0.7500
0.2500 0.7500 0.2500
0.7500 0.2500 0.2500
0.7500 0.7500 0.7500


25.
TaTlCuAu | the Open Quantum Materials Database | PBE | optimized geometry; energy above the lowest structure with this stoichiometry = 0.041 eV/atom; magnetization = 0.0 μB per cell
1.0
6.6070 0.0000 0.0000
0.0000 6.6070 0.0000
0.0000 0.0000 6.6070
Ta Tl Cu Au
4 4 4 4
Direct
0.0000 0.0000 0.0000
0.0000 0.5000 0.5000
0.5000 0.0000 0.5000
0.5000 0.5000 0.0000
0.0000 0.0000 0.5000
0.0000 0.5000 0.0000
0.5000 0.0000 0.0000
0.5000 0.5000 0.5000
0.2500 0.2500 0.7500
0.2500 0.7500 0.2500
0.7500 0.2500 0.2500
0.7500 0.7500 0.7500
0.2500 0.2500 0.2500
0.2500 0.7500 0.7500
0.7500 0.2500 0.7500
0.7500 0.7500 0.2500


26.
TaZnCuAu | the Open Quantum Materials Database | PBE | optimized geometry; energy above the lowest structure with this stoichiometry = 0.034 eV/atom; formation energy = 102 meV/atom; magnetization = 0.0 μB per cell
1.0
6.2992 0.0000 0.0000
0.0000 6.2992 0.0000
0.0000 0.0000 6.2992
Ta Zn Cu Au
4 4 4 4
Direct
0.0000 0.0000 0.0000
0.0000 0.5000 0.5000
0.5000 0.0000 0.5000
0.5000 0.5000 0.0000
0.2500 0.2500 0.2500
0.2500 0.7500 0.7500
0.7500 0.2500 0.7500
0.7500 0.7500 0.2500
0.0000 0.0000 0.5000
0.0000 0.5000 0.0000
0.5000 0.0000 0.0000
0.5000 0.5000 0.5000
0.2500 0.2500 0.7500
0.2500 0.7500 0.2500
0.7500 0.2500 0.2500
0.7500 0.7500 0.7500


27.
TaZnCuAu | the Open Quantum Materials Database | PBE | optimized geometry; energy above the lowest structure with this stoichiometry = 0.000 eV/atom; formation energy = 68 meV/atom; magnetization = 0.0 μB per cell
1.0
6.3055 0.0000 0.0000
0.0000 6.3055 0.0000
0.0000 0.0000 6.3055
Ta Zn Cu Au
4 4 4 4
Direct
0.0000 0.0000 0.0000
0.0000 0.5000 0.5000
0.5000 0.0000 0.5000
0.5000 0.5000 0.0000
0.0000 0.0000 0.5000
0.0000 0.5000 0.0000
0.5000 0.0000 0.0000
0.5000 0.5000 0.5000
0.2500 0.2500 0.7500
0.2500 0.7500 0.2500
0.7500 0.2500 0.2500
0.7500 0.7500 0.7500
0.2500 0.2500 0.2500
0.2500 0.7500 0.7500
0.7500 0.2500 0.7500
0.7500 0.7500 0.2500


28.
Tb2Cu3Au | the Open Quantum Materials Database | PBE | optimized geometry; formation energy = -341 meV/atom; magnetization = 0.0 μB per cell
1.0
3.5833 0.0000 0.0000
0.0000 3.5833 0.0000
0.0000 0.0000 8.8017
Tb Cu Au
2 3 1
Direct
0.0000 0.0000 0.0000
0.5000 0.5000 0.4904
0.0000 0.0000 0.3163
0.5000 0.5000 0.1676
0.5000 0.5000 0.8307
0.0000 0.0000 0.6672